Record 1
KZnSeF | PBE | relaxed

crystal system: hexagonal

Structure (CIF):
```
data_KZnSeF
_chemical_formula_sum 'K2 Zn2 Se2 F2'
_symmetry_space_group_name_H-M 'P 63 m c'
_symmetry_Int_Tables_number 186
_symmetry_space_group_name_Hall 'P 6c -2c'
_cell_length_a 4.1088
_cell_length_b 4.1088
_cell_length_c 12.7733
_cell_angle_alpha 90.00
_cell_angle_beta 90.00
_cell_angle_gamma 120.00
loop_
_atom_site_label
_atom_site_type_symbol
_atom_site_fract_x
_atom_site_fract_y
_atom_site_fract_z
_atom_site_occupancy
K1 K 0.3333 0.6667 0.0000 1
Zn1 Zn 0.0000 0.0000 0.2380 1
Se1 Se 0.3333 0.6667 0.2967 1
F1 F 0.0000 0.0000 0.0810 1
```


Record 2
K2ZrSeF | PBE | relaxed

crystal system: tetragonal

Structure (CIF):
```
data_K2ZrSeF
_chemical_formula_sum 'K2 Zr1 Se1 F1'
_symmetry_space_group_name_H-M 'P 4/m m m'
_symmetry_Int_Tables_number 123
_symmetry_space_group_name_Hall '-P 4 2'
_cell_length_a 6.8645
_cell_length_b 6.8645
_cell_length_c 5.0696
_cell_angle_alpha 90.00
_cell_angle_beta 90.00
_cell_angle_gamma 90.00
loop_
_atom_site_label
_atom_site_type_symbol
_atom_site_fract_x
_atom_site_fract_y
_atom_site_fract_z
_atom_site_occupancy
K1 K 0.0000 0.5000 0.0000 1
Zr1 Zr 0.0000 0.0000 0.0000 1
Se1 Se 0.0000 0.0000 0.5000 1
F1 F 0.5000 0.5000 0.5000 1
```


Record 3
KZrSeF2 | PBE | relaxed

crystal system: tetragonal

Structure (CIF):
```
data_KZrSeF2
_chemical_formula_sum 'K1 Zr1 Se1 F2'
_symmetry_space_group_name_H-M 'P 4/m m m'
_symmetry_Int_Tables_number 123
_symmetry_space_group_name_Hall '-P 4 2'
_cell_length_a 4.2688
_cell_length_b 4.2688
_cell_length_c 7.2936
_cell_angle_alpha 90.00
_cell_angle_beta 90.00
_cell_angle_gamma 90.00
loop_
_atom_site_label
_atom_site_type_symbol
_atom_site_fract_x
_atom_site_fract_y
_atom_site_fract_z
_atom_site_occupancy
K1 K 0.0000 0.0000 0.0000 1
Zr1 Zr 0.0000 0.0000 0.5000 1
Se1 Se 0.5000 0.5000 0.0000 1
F1 F 0.0000 0.5000 0.5000 1
```


Record 4
KZrSe2F | PBE | relaxed

energy relative to the lowest polymorph listed for this composition: 0.000 eV per atom
crystal system: monoclinic

Structure (CIF):
```
data_KZrSe2F
_chemical_formula_sum 'K2 Zr2 Se4 F2'
_symmetry_space_group_name_H-M 'P 1 21/m 1'
_symmetry_Int_Tables_number 11
_symmetry_space_group_name_Hall '-P 2yb'
_cell_length_a 7.8336
_cell_length_b 3.8885
_cell_length_c 9.1276
_cell_angle_alpha 90.00
_cell_angle_beta 108.00
_cell_angle_gamma 90.00
loop_
_atom_site_label
_atom_site_type_symbol
_atom_site_fract_x
_atom_site_fract_y
_atom_site_fract_z
_atom_site_occupancy
K1 K 0.1862 0.2500 0.3015 1
Zr1 Zr 0.3274 0.2500 0.8214 1
Se1 Se 0.3080 0.7500 0.0323 1
Se2 Se 0.3536 0.7500 0.6310 1
F1 F 0.0530 0.2500 0.7519 1
```


Record 5
KZrSe2F | PBE | relaxed

energy relative to the lowest polymorph listed for this composition: 0.113 eV per atom
crystal system: tetragonal

Structure (CIF):
```
data_KZrSe2F
_chemical_formula_sum 'K1 Zr1 Se2 F1'
_symmetry_space_group_name_H-M 'P 4/m m m'
_symmetry_Int_Tables_number 123
_symmetry_space_group_name_Hall '-P 4 2'
_cell_length_a 5.3339
_cell_length_b 5.3339
_cell_length_c 4.2978
_cell_angle_alpha 90.00
_cell_angle_beta 90.00
_cell_angle_gamma 90.00
loop_
_atom_site_label
_atom_site_type_symbol
_atom_site_fract_x
_atom_site_fract_y
_atom_site_fract_z
_atom_site_occupancy
K1 K 0.0000 0.0000 0.0000 1
Zr1 Zr 0.5000 0.5000 0.5000 1
Se1 Se 0.0000 0.5000 0.5000 1
F1 F 0.5000 0.5000 0.0000 1
```


Record 6
KSiF4 | PBE | relaxed

crystal system: orthorhombic

Structure (CIF):
```
data_KSiF4
_chemical_formula_sum 'K4 Si4 F16'
_symmetry_space_group_name_H-M 'C m c m'
_symmetry_Int_Tables_number 63
_symmetry_space_group_name_Hall '-C 2c 2'
_cell_length_a 3.9926
_cell_length_b 14.5777
_cell_length_c 6.2125
_cell_angle_alpha 90.00
_cell_angle_beta 90.00
_cell_angle_gamma 90.00
loop_
_atom_site_label
_atom_site_type_symbol
_atom_site_fract_x
_atom_site_fract_y
_atom_site_fract_z
_atom_site_occupancy
K1 K 0.0000 0.1362 0.2500 1
Si1 Si 0.0000 0.4044 0.2500 1
F1 F 0.0000 0.0958 0.7500 1
F2 F 0.0000 0.3233 0.0518 1
F3 F 0.0000 0.5000 0.0000 1
```


Record 7
KSi2F8 | PBE | relaxed

energy relative to the lowest polymorph listed for this composition: 0.000 eV per atom
crystal system: triclinic

Structure (CIF):
```
data_KSi2F8
_chemical_formula_sum 'K1 Si2 F8'
_symmetry_space_group_name_H-M 'P -1'
_symmetry_Int_Tables_number 2
_symmetry_space_group_name_Hall '-P 1'
_cell_length_a 4.7632
_cell_length_b 6.9988
_cell_length_c 7.0077
_cell_angle_alpha 60.05
_cell_angle_beta 89.98
_cell_angle_gamma 89.99
loop_
_atom_site_label
_atom_site_type_symbol
_atom_site_fract_x
_atom_site_fract_y
_atom_site_fract_z
_atom_site_occupancy
K1 K 0.0000 0.0000 0.0000 1
Si1 Si 0.3644 0.3332 0.3336 1
F1 F 0.2537 0.2030 0.5854 1
F2 F 0.2545 0.5855 0.2114 1
F3 F 0.2546 0.2116 0.2029 1
F4 F 0.2978 0.6666 0.6668 1
```


Record 8
K2SiF6 | PBE | relaxed

crystal system: cubic

Structure (CIF):
```
data_K2SiF6
_chemical_formula_sum 'K8 Si4 F24'
_symmetry_space_group_name_H-M 'F m -3 m'
_symmetry_Int_Tables_number 225
_symmetry_space_group_name_Hall '-F 4 2 3'
_cell_length_a 8.2316
_cell_length_b 8.2316
_cell_length_c 8.2316
_cell_angle_alpha 90.00
_cell_angle_beta 90.00
_cell_angle_gamma 90.00
loop_
_atom_site_label
_atom_site_type_symbol
_atom_site_fract_x
_atom_site_fract_y
_atom_site_fract_z
_atom_site_occupancy
K1 K 0.2500 0.2500 0.2500 1
Si1 Si 0.0000 0.0000 0.0000 1
F1 F 0.0000 0.0000 0.2090 1
```


Record 9
K2SiF5 | PBE | relaxed

crystal system: tetragonal

Structure (CIF):
```
data_K2SiF5
_chemical_formula_sum 'K4 Si2 F10'
_symmetry_space_group_name_H-M 'I 4 m m'
_symmetry_Int_Tables_number 107
_symmetry_space_group_name_Hall 'I 4 -2'
_cell_length_a 5.9485
_cell_length_b 5.9485
_cell_length_c 7.9254
_cell_angle_alpha 90.00
_cell_angle_beta 90.00
_cell_angle_gamma 90.00
loop_
_atom_site_label
_atom_site_type_symbol
_atom_site_fract_x
_atom_site_fract_y
_atom_site_fract_z
_atom_site_occupancy
K1 K 0.0000 0.5000 0.0000 1
Si1 Si 0.0000 0.0000 0.2549 1
F1 F 0.0000 0.0000 0.0398 1
F2 F 0.2096 0.2096 0.2546 1
```


Record 10
KSi3F | PBE | relaxed

energy relative to the lowest polymorph listed for this composition: 1.472 eV per atom
crystal system: cubic

Structure (CIF):
```
data_KSi3F
_chemical_formula_sum 'K1 Si3 F1'
_symmetry_space_group_name_H-M 'P m -3 m'
_symmetry_Int_Tables_number 221
_symmetry_space_group_name_Hall '-P 4 2 3'
_cell_length_a 5.6886
_cell_length_b 5.6886
_cell_length_c 5.6886
_cell_angle_alpha 90.00
_cell_angle_beta 90.00
_cell_angle_gamma 90.00
loop_
_atom_site_label
_atom_site_type_symbol
_atom_site_fract_x
_atom_site_fract_y
_atom_site_fract_z
_atom_site_occupancy
K1 K 0.0000 0.0000 0.0000 1
Si1 Si 0.0000 0.0000 0.5000 1
F1 F 0.5000 0.5000 0.5000 1
```


Record 11
KSiF3 | PBE | relaxed

crystal system: cubic

Structure (CIF):
```
data_KSiF3
_chemical_formula_sum 'K1 Si1 F3'
_symmetry_space_group_name_H-M 'P m -3 m'
_symmetry_Int_Tables_number 221
_symmetry_space_group_name_Hall '-P 4 2 3'
_cell_length_a 4.6303
_cell_length_b 4.6303
_cell_length_c 4.6303
_cell_angle_alpha 90.00
_cell_angle_beta 90.00
_cell_angle_gamma 90.00
loop_
_atom_site_label
_atom_site_type_symbol
_atom_site_fract_x
_atom_site_fract_y
_atom_site_fract_z
_atom_site_occupancy
K1 K 0.0000 0.0000 0.0000 1
Si1 Si 0.5000 0.5000 0.5000 1
F1 F 0.0000 0.0000 0.5000 1
```


Record 12
KSiF6 | PBE | relaxed

energy relative to the lowest polymorph listed for this composition: 0.000 eV per atom
crystal system: trigonal

Structure (CIF):
```
data_KSiF6
_chemical_formula_sum 'K3 Si3 F18'
_symmetry_space_group_name_H-M 'R -3 m'
_symmetry_Int_Tables_number 166
_symmetry_space_group_name_Hall '-R 3 2"'
_cell_length_a 7.3500
_cell_length_b 7.3500
_cell_length_c 7.3353
_cell_angle_alpha 90.00
_cell_angle_beta 90.00
_cell_angle_gamma 120.00
loop_
_atom_site_label
_atom_site_type_symbol
_atom_site_fract_x
_atom_site_fract_y
_atom_site_fract_z
_atom_site_occupancy
K1 K 0.0000 0.0000 0.0000 1
Si1 Si 0.0000 0.0000 0.5000 1
F1 F 0.1087 0.2175 0.6358 1
```


Number 1: E_form (uncorrected) -1.71 eV per atom. Number 2: E_form (uncorrected) -0.43 eV per atom. Number 3: E_form (uncorrected) -1.63 eV per atom. Number 4: E_form (uncorrected) -1.99 eV per atom. Number 5: E_form (uncorrected) -1.87 eV per atom. Number 6: E_form (uncorrected) -2.62 eV per atom. Number 7: E_form (uncorrected) -2.85 eV per atom. Number 8: E_form (uncorrected) -3.15 eV per atom. Number 9: E_form (uncorrected) -2.78 eV per atom. Number 10: E_form (uncorrected) 1.92 eV per atom. Number 11: E_form (uncorrected) -0.98 eV per atom. Number 12: E_form (uncorrected) -2.71 eV per atom.